Record 1
A geometry-optimized KYSnHg2 structure. Source: the Alexandria database, functional GGA-PBE.

Cell lengths 5.5835, 5.9982, 5.5835 Å; angles 90.00, 90.00, 90.00 degrees
Fractional coordinates of all 5 atoms:
Y 0.5000 0.5000 0.5000
K 0.0000 0.5000 0.0000
Hg 0.0000 0.0000 0.5000
Hg 0.5000 0.0000 0.0000
Sn 0.0000 0.0000 0.0000

Values from the calculation:
Total magnetic moment in μB/atom: 0.00
Energy of formation in eV/atom: 0.5066

Record 2
A geometry-optimized Sm3RuSeCl structure. Source: the Alexandria database, functional GGA-PBE.

Cell lengths 4.1762, 10.5747, 8.0470 Å; angles 102.33, 90.00, 90.00 degrees
Fractional coordinates of all 12 atoms:
Sm 0.7500 0.7332 0.0121
Sm 0.2500 0.2668 0.9879
Sm 0.2500 0.7922 0.4133
Sm 0.7500 0.2078 0.5867
Sm 0.7500 0.4918 0.2746
Sm 0.2500 0.5082 0.7254
Ru 0.2500 0.5963 0.1082
Ru 0.7500 0.4037 0.8918
Se 0.2500 0.3075 0.3883
Se 0.7500 0.6925 0.6117
Cl 0.2500 0.0430 0.6951
Cl 0.7500 0.9570 0.3049

Values from the calculation:
Total magnetic moment in μB/atom: 0.00
Raw formation energy in eV/atom: -1.187

Record 3
A geometry-optimized SmHfZn4 structure. Source: the Alexandria database, functional GGA-PBE.

Cell lengths 3.2456, 4.4489, 7.7879 Å; angles 90.00, 90.00, 90.00 degrees
Fractional coordinates of all 6 atoms:
Sm 0.9986 0.9973 0.4981
Hf 0.9986 0.4973 0.9981
Zn 0.4986 0.9973 0.1546
Zn 0.4985 0.9973 0.8416
Zn 0.4986 0.4973 0.6805
Zn 0.4986 0.4973 0.3158

Values from the calculation:
Total magnetic moment in μB/atom: 0.00
Energy of formation in eV/atom: -0.2558
Relative energy among the computed polymorphs in meV/atom: 0

Record 4
A geometry-optimized ThGaSi2Ni5 structure. Source: the Alexandria database, functional GGA-PBE.

Cell lengths 3.7875, 3.7875, 9.9362 Å; angles 90.00, 90.00, 90.00 degrees
Fractional coordinates of all 9 atoms:
Th 0.0000 0.0000 0.5000
Ga 0.0000 0.0000 0.0000
Si 0.5000 0.5000 0.2775
Si 0.5000 0.5000 0.7225
Ni 0.0000 0.5000 0.1525
Ni 0.5000 0.0000 0.1525
Ni 0.0000 0.5000 0.8475
Ni 0.5000 0.0000 0.8475
Ni 0.5000 0.5000 0.5000

Values from the calculation:
Total magnetic moment in μB/atom: 0.00
Raw formation energy in eV/atom: -0.328

Record 5
A geometry-optimized V8Cr3Fe2 structure. Source: the Alexandria database, functional GGA-PBE.

Cell lengths 4.8747, 6.5085, 6.3776 Å; angles 120.68, 94.83, 90.00 degrees
Fractional coordinates of all 13 atoms:
V 0.9089 0.6046 0.2091
V 0.0911 0.3954 0.7909
V 0.8033 0.1818 0.3636
V 0.1967 0.8182 0.6364
V 0.5685 0.5719 0.7567
V 0.5685 0.1848 0.7567
V 0.4315 0.8152 0.2433
V 0.4315 0.4281 0.2433
Cr 0.5000 0.0000 0.0000
Cr 0.0000 0.1954 0.0000
Cr 0.0000 0.8046 0.0000
Fe 0.2724 0.2011 0.4021
Fe 0.7276 0.7989 0.5979

Values from the calculation:
Total magnetic moment in μB/atom: 0.00
Energy of formation in eV/atom: 0.2898

Record 6
A geometry-optimized GaReTcRh2 structure. Source: the Alexandria database, functional GGA-PBE.

Cell lengths 4.6108, 4.6494, 4.6108 Å; angles 90.00, 90.00, 90.00 degrees
Each line ends with the local moment (μB).
Fractional coordinates of all 5 atoms:
Re 0.5000 0.5000 0.5000  2.71
Rh 0.0000 0.0000 0.5000  -0.07
Rh 0.5000 0.0000 0.0000  0.11
Tc 0.0000 0.0000 0.0000  0.11
Ga 0.0000 0.5000 0.0000  -0.05

Values from the calculation:
Total magnetic moment in μB/atom: 0.64
Energy of formation in eV/atom: 1.6394